MnBeTcPCl: optimized geometry, PBE-GGA.

Cell lengths 3.1627, 3.4338, 13.2867 Å; angles 90.00, 90.00, 90.00 degrees
With the nearest neighbours (Å) after each atom.
Space group Imm2 (No. 44)
Asymmetric unit:
Mn1 0.0000 0.0000 0.0000 (multiplicity 2)  1 Cl 2.31, 4 P 2.38, 2 Be 2.45
Be1 0.0000 0.5000 0.6412 (multiplicity 2)  2 P 2.23, 4 Tc 2.37, 2 Mn 2.45
Tc1 0.0000 0.5000 0.1725 (multiplicity 2)  4 Be 2.37, 2 P 2.42, 2 Cl 2.58
P1 0.0000 0.0000 0.5341 (multiplicity 2)  2 Be 2.23, 4 Mn 2.38, 2 Tc 2.42
Cl1 0.0000 0.0000 0.8263 (multiplicity 2)  1 Mn 2.31, 2 Tc 2.58

Summary:
As for the energy relative to the lowest polymorph listed for this composition: 46 meV per atom.

MnBeTcPCl: optimized geometry, PBE-GGA.

Cell lengths 2.9921, 2.9921, 8.5839 Å; angles 90.00, 90.00, 120.00 degrees
With the nearest neighbours (Å) after each atom.
Space group P3m1 (No. 156)
Asymmetric unit:
Mn1 0.0000 0.0000 0.0000 (multiplicity 1)  3 P 2.21, 1 Cl 2.31
Be1 0.3333 0.6667 0.4316 (multiplicity 1)  3 Cl 2.22
Tc1 0.0000 0.0000 0.6476 (multiplicity 1)  3 P 2.39, 3 Be 2.53
P1 0.3333 0.6667 0.8396 (multiplicity 1)  3 Mn 2.21, 3 Tc 2.39
Cl1 0.0000 0.0000 0.2687 (multiplicity 1)  3 Be 2.22, 1 Mn 2.31

Summary:
As for the energy relative to the lowest polymorph listed for this composition: 109 meV per atom.

MnBeTcPCl: optimized geometry, PBE-GGA.

Cell lengths 3.0549, 3.0483, 16.0696 Å; angles 90.00, 90.00, 90.00 degrees
With the nearest neighbours (Å) after each atom.
Space group Amm2 (No. 38)
Asymmetric unit:
Mn1 0.0000 0.0000 0.0000 (multiplicity 2)  2 Cl 2.45, 4 P 2.66, 1 Tc 2.67
Be1 0.5000 0.0000 0.7528 (multiplicity 2)  1 Cl 2.06
Tc1 0.0000 0.0000 0.1664 (multiplicity 2)  4 P 2.43, 4 Be 2.57, 1 Mn 2.67
P1 0.5000 0.0000 0.5967 (multiplicity 2)  4 Tc 2.43, 1 Be 2.51, 4 Mn 2.66
Cl1 0.5000 0.0000 0.8812 (multiplicity 2)  1 Be 2.06

Summary:
As for the energy relative to the lowest polymorph listed for this composition: 7 meV per atom.

MnBeTcPCl: optimized geometry, PBE-GGA.

Cell lengths 15.9418, 3.0153, 3.1797 Å; angles 90.00, 101.41, 90.00 degrees
With the nearest neighbours (Å) after each atom.
Space group Cm (No. 8)
Asymmetric unit:
Mn1 0.0000 0.0000 0.0000 (multiplicity 2)  4 P 2.36, 2 Cl 2.50
Be1 0.2394 0.0000 0.7371 (multiplicity 2)  1 Cl 2.08
Tc1 0.1636 0.5000 0.1624 (multiplicity 2)  2 P 2.31, 4 Be 2.49
P1 0.0566 0.5000 0.5562 (multiplicity 2)  2 Tc 2.31, 4 Mn 2.36
Cl1 0.3723 0.0000 0.8753 (multiplicity 2)  1 Be 2.08

Summary:
As for the energy relative to the lowest polymorph listed for this composition: 119 meV per atom.

MnBeTcPCl: optimized geometry, PBE-GGA.

Cell lengths 3.2693, 3.4169, 13.7923 Å; angles 90.00, 90.00, 90.00 degrees
With the nearest neighbours (Å) after each atom.
Space group Amm2 (No. 38)
Asymmetric unit:
Mn1 0.0000 0.0000 0.0000 (multiplicity 2)  1 Cl 2.28, 4 P 2.42
Be1 0.5000 0.0000 0.8487 (multiplicity 2)  2 P 2.34, 4 Tc 2.37
Tc1 0.0000 0.0000 0.3389 (multiplicity 2)  4 Be 2.37, 2 P 2.38, 1 Cl 2.39
P1 0.5000 0.0000 0.4642 (multiplicity 2)  2 Be 2.34, 2 Tc 2.38, 4 Mn 2.42
Cl1 0.0000 0.0000 0.1656 (multiplicity 2)  1 Mn 2.28, 1 Tc 2.39

Summary:
As for the energy relative to the lowest polymorph listed for this composition: 0 meV per atom.

MnBeTcPCl: optimized geometry, PBE-GGA.

Cell lengths 3.0189, 3.0571, 7.8873 Å; angles 90.00, 90.00, 90.00 degrees
With the nearest neighbours (Å) after each atom.
Space group Pmm2 (No. 25)
Asymmetric unit:
Mn1 0.0000 0.0000 0.0000 (multiplicity 1)  2 Cl 2.49, 4 P 2.64, 1 Tc 2.67
Be1 0.5000 0.5000 0.5192 (multiplicity 1)  2 Cl 2.37, 1 P 2.56, 4 Tc 2.58
Tc1 0.0000 0.0000 0.3386 (multiplicity 1)  4 P 2.43, 4 Be 2.58, 1 Mn 2.67
P1 0.5000 0.5000 0.1950 (multiplicity 1)  4 Tc 2.43, 1 Be 2.56, 4 Mn 2.64
Cl1 0.0000 0.5000 0.7500 (multiplicity 1)  2 Be 2.37, 2 Mn 2.49

Summary:
As for the energy relative to the lowest polymorph listed for this composition: 65 meV per atom.

MnBeTcPCl: optimized geometry, PBE-GGA.

Cell lengths 3.0012, 4.0976, 7.6073 Å; angles 85.36, 85.67, 80.29 degrees
With the nearest neighbours (Å) after each atom.
Space group P1 (No. 1)
Asymmetric unit:
Mn1 0.0000 0.0000 0.0000 (multiplicity 1)  3 P 2.32-2.50, 1 Be 2.43, 1 Tc 2.51
Be1 0.7220 0.9315 0.3068 (multiplicity 1)  2 Cl 2.06-2.12
Tc1 0.1611 0.4359 0.1889 (multiplicity 1)  2 P 2.34-2.42, 2 Be 2.42-2.58, 2 Mn 2.51-2.61, 1 Cl 2.54
P1 0.6615 0.5497 0.9488 (multiplicity 1)  3 Mn 2.32-2.50, 2 Tc 2.34-2.42
Cl1 0.1702 0.0735 0.4770 (multiplicity 1)  2 Be 2.06-2.12

Summary:
As for the energy relative to the lowest polymorph listed for this composition: 127 meV per atom.

MnBeTcPCl: optimized geometry, PBE-GGA.

Cell lengths 3.0059, 3.0642, 16.1521 Å; angles 90.00, 90.00, 90.00 degrees
With the nearest neighbours (Å) after each atom.
Space group Amm2 (No. 38)
Asymmetric unit:
Mn1 0.0000 0.0000 0.0000 (multiplicity 2)  1 Cl 2.35, 4 P 2.61, 1 Tc 2.62
Be1 0.5000 0.0000 0.7543 (multiplicity 2)  2 Cl 2.21
Tc1 0.0000 0.0000 0.1624 (multiplicity 2)  4 P 2.43, 4 Be 2.61, 1 Mn 2.62
P1 0.5000 0.0000 0.5915 (multiplicity 2)  4 Tc 2.43, 4 Mn 2.61, 1 Be 2.63
Cl1 0.0000 0.0000 0.8545 (multiplicity 2)  2 Be 2.21, 1 Mn 2.35

Summary:
As for the energy relative to the lowest polymorph listed for this composition: 70 meV per atom.

> Among the records above, which one has the highest energy relative to the lowest polymorph listed for this composition?

number 7